Record 1
Below is an optimized crystal structure of Tb2Er2Rh3, with properties calculated at the GGA-PBE level.

Results
Magnetic moment, μB/cell: 0.00
DOS(E_F), states/eV/cell: 3.81
Crystal system: triclinic
Formation energy, eV/f.u.: -5.37
ΔE to the lowest computed polymorph, eV per atom: 0.039

a b c (Å): 4.824 7.667 4.769
angles (deg): 71.95 90.18 108.24
Positions (direct):
Tb 0.627 0.251 0.873
Tb 0.373 0.749 0.127
Er 0.872 0.747 0.628
Er 0.128 0.253 0.372
Rh 0.748 0.496 0.252
Rh 0.252 0.504 0.748
Rh 0.000 0.000 0.000

---

Record 2
Below is an optimized crystal structure of KHoPt4, with properties calculated at the GGA-PBE level.

Results
Magnetic moment, μB/cell: 0.00
DOS(E_F), states/eV/cell: 4.57
Crystal system: cubic
Formation energy, eV/f.u.: -3.94

a b c (Å): 5.468 5.468 5.468
angles (deg): 60.00 60.00 60.00
Positions (direct):
Pt 0.625 0.125 0.625
Pt 0.625 0.625 0.625
Pt 0.625 0.625 0.125
Pt 0.125 0.625 0.625
K 0.250 0.250 0.250
Ho 0.000 0.000 0.000

---

Record 3
Below is an optimized crystal structure of YHf3S, with properties calculated at the GGA-PBE level.

Results
Magnetic moment, μB/cell: 0.00
DOS(E_F), states/eV/cell: 5.15
Crystal system: cubic
ΔE to the lowest computed polymorph, eV per atom: 0.000

a b c (Å): 4.889 4.889 4.889
angles (deg): 90.00 90.00 90.00
Positions (direct):
S 0.000 0.000 0.000
Hf 0.000 0.000 0.500
Hf 0.000 0.500 0.000
Hf 0.500 0.000 0.000
Y 0.500 0.500 0.500

---

Record 4
Below is an optimized crystal structure of In2CuB, with properties calculated at the GGA-PBE level.

Results
Magnetic moment, μB/cell: 0.00
DOS(E_F), states/eV/cell: 2.50
Crystal system: tetragonal
Formation energy, eV/f.u.: 3.10

a b c (Å): 5.614 5.614 7.066
angles (deg): 66.59 66.59 90.00
Positions (direct):
Cu 0.750 0.250 0.500
Cu 0.000 0.000 0.000
B 0.250 0.750 0.500
B 0.500 0.500 0.000
In 0.195 0.625 0.250
In 0.555 0.125 0.250
In 0.875 0.805 0.750
In 0.375 0.445 0.750

---

Record 5
Below is an optimized crystal structure of RbIrAuBr6, with properties calculated at the GGA-PBE level.

Results
Magnetic moment, μB/cell: 0.81
DOS(E_F), states/eV/cell: 5.78
Crystal system: triclinic

a b c (Å): 6.856 6.871 7.576
angles (deg): 88.07 92.26 64.98
Positions (direct):
Rb 0.023 0.022 0.001
Br 0.383 0.628 0.300
Br 0.631 0.386 0.702
Br 0.957 0.383 0.345
Br 0.674 0.949 0.285
Br 0.383 0.958 0.655
Br 0.950 0.678 0.712
Au 0.332 0.329 0.500
Ir 0.667 0.668 0.500

---

Record 6
Below is an optimized crystal structure of LiPr2CuPt2, with properties calculated at the GGA-PBE level.

Results
Magnetic moment, μB/cell: 0.00
DOS(E_F), states/eV/cell: 6.18
Crystal system: orthorhombic
Formation energy, eV/f.u.: -4.51

a b c (Å): 5.861 5.937 8.406
angles (deg): 110.68 110.40 90.00
Positions (direct):
Li 0.000 0.750 0.000
Li 0.000 0.250 0.000
Pt 0.128 0.879 0.759
Pt 0.631 0.379 0.759
Pt 0.369 0.621 0.241
Pt 0.872 0.121 0.241
Cu 0.500 0.750 0.000
Cu 0.500 0.250 0.000
Pr 0.418 0.165 0.331
Pr 0.088 0.335 0.669
Pr 0.912 0.665 0.331
Pr 0.582 0.835 0.669

---

Record 7
Below is an optimized crystal structure of Sm3Pb2N, with properties calculated at the GGA-PBE level.

Results
Magnetic moment, μB/cell: 0.00
DOS(E_F), states/eV/cell: 5.02
Crystal system: orthorhombic

a b c (Å): 3.541 6.171 8.171
angles (deg): 112.19 102.52 90.00
Positions (direct):
Sm 0.388 0.388 0.776
Sm 0.612 0.612 0.224
Sm 0.000 0.000 0.000
Pb 0.310 0.810 0.620
Pb 0.690 0.190 0.380
N 0.000 0.500 0.000

---

Record 8
Below is an optimized crystal structure of LiNd4Ag2, with properties calculated at the GGA-PBE level.

Results
Magnetic moment, μB/cell: 0.00
DOS(E_F), states/eV/cell: 8.73
Crystal system: trigonal
Formation energy, eV/f.u.: 0.18

a b c (Å): 5.271 5.271 9.166
angles (deg): 73.29 73.29 60.00
Positions (direct):
Ag 0.595 0.595 0.216
Ag 0.405 0.405 0.784
Nd 0.286 0.286 0.142
Nd 0.874 0.874 0.379
Nd 0.126 0.126 0.621
Nd 0.714 0.714 0.858
Li 0.500 0.500 0.500

---

Record 9
Below is an optimized crystal structure of Na7TlSn5, with properties calculated at the GGA-PBE level.

Results
Magnetic moment, μB/cell: 0.00
DOS(E_F), states/eV/cell: 5.61
Crystal system: orthorhombic
Formation energy, eV/f.u.: -1.50

a b c (Å): 6.790 8.383 8.383
angles (deg): 78.81 66.11 66.11
Positions (direct):
Sn 0.008 0.006 0.534
Sn 0.452 0.534 0.006
Sn 0.008 0.534 0.006
Sn 0.452 0.006 0.534
Sn 0.746 0.754 0.754
Na 0.967 0.739 0.326
Na 0.204 0.296 0.296
Na 0.758 0.242 0.242
Na 0.967 0.326 0.739
Na 0.389 0.611 0.611
Na 0.491 0.186 0.833
Na 0.491 0.833 0.186
Tl 0.068 0.932 0.932

---

Record 10
Below is an optimized crystal structure of Ba2GaSnPd6, with properties calculated at the GGA-PBE level.

Results
Magnetic moment, μB/cell: 0.00
DOS(E_F), states/eV/cell: 2.65
Crystal system: monoclinic
Formation energy, eV/f.u.: -5.98

a b c (Å): 5.803 8.597 6.923
angles (deg): 53.22 65.22 90.00
Positions (direct):
Pd 0.253 0.391 0.494
Pd 0.747 0.609 0.506
Pd 0.769 0.279 0.950
Pd 0.280 0.280 0.950
Pd 0.231 0.721 0.050
Pd 0.720 0.720 0.050
Sn 0.000 0.000 0.000
Ba 0.754 0.209 0.491
Ba 0.246 0.791 0.509
Ga 0.500 0.500 0.000

---

Record 11
Below is an optimized crystal structure of FeNiBr6, with properties calculated at the GGA-PBE level.

Results
Magnetic moment, μB/cell: 6.15
DOS(E_F), states/eV/cell: 4.42
Crystal system: monoclinic

a b c (Å): 7.259 7.259 6.129
angles (deg): 95.65 95.65 122.84
Positions (direct):
Fe 0.000 0.000 0.000
Br 0.991 0.721 0.710
Br 0.279 0.009 0.290
Br 0.009 0.279 0.290
Br 0.706 0.706 0.194
Br 0.294 0.294 0.806
Br 0.721 0.991 0.710
Ni 0.000 0.000 0.500

---

Record 12
Below is an optimized crystal structure of DyLu2In, with properties calculated at the GGA-PBE level.

Results
Magnetic moment, μB/cell: 0.00
DOS(E_F), states/eV/cell: 4.60
Crystal system: tetragonal
Formation energy, eV/f.u.: -1.02
ΔE to the lowest computed polymorph, eV per atom: 0.000

a b c (Å): 4.782 4.780 4.780
angles (deg): 90.00 90.00 90.00
Positions (direct):
Dy 0.500 0.500 0.500
Lu 0.000 0.000 0.500
Lu 0.000 0.500 0.000
In 0.500 0.000 0.000

---

Record 13
Below is an optimized crystal structure of RbAgBiBr6, with properties calculated at the GGA-PBE level.

Results
Magnetic moment, μB/cell: 0.95
DOS(E_F), states/eV/cell: 2.86
Crystal system: triclinic

a b c (Å): 7.305 7.315 7.597
angles (deg): 87.67 92.43 63.80
Positions (direct):
Bi 0.677 0.678 0.500
Br 0.992 0.636 0.742
Br 0.375 0.599 0.276
Br 0.370 0.005 0.688
Br 0.634 0.991 0.256
Br 0.004 0.371 0.312
Br 0.601 0.375 0.724
Ag 0.335 0.335 0.500
Rb 0.012 0.011 0.001

---

Record 14
Below is an optimized crystal structure of AlGaPdPt, with properties calculated at the GGA-PBE level.

Results
Magnetic moment, μB/cell: 0.00
DOS(E_F), states/eV/cell: 2.47
Crystal system: cubic
Formation energy, eV/f.u.: -2.94

a b c (Å): 4.381 4.381 4.381
angles (deg): 60.00 60.00 60.00
Positions (direct):
Ga 0.000 0.000 0.000
Pd 0.250 0.250 0.250
Al 0.500 0.500 0.500
Pt 0.750 0.750 0.750

---

Record 15
Below is an optimized crystal structure of Sr2InPPd6, with properties calculated at the GGA-PBE level.

Results
Magnetic moment, μB/cell: 0.00
DOS(E_F), states/eV/cell: 6.53
Crystal system: orthorhombic
Formation energy, eV/f.u.: -6.45

a b c (Å): 5.821 8.163 9.008
angles (deg): 90.00 90.00 90.00
Positions (direct):
Pd 0.253 0.569 0.000
Pd 0.765 0.001 0.500
Pd 0.747 0.569 0.000
Pd 0.735 0.999 0.000
Pd 0.247 0.431 0.500
Pd 0.235 0.001 0.500
Pd 0.753 0.431 0.500
Pd 0.265 0.999 0.000
Pd 0.500 0.109 0.746
Pd 0.500 0.109 0.254
Pd 0.000 0.891 0.246
Pd 0.000 0.891 0.754
Sr 0.000 0.277 0.230
Sr 0.000 0.277 0.770
Sr 0.500 0.723 0.730
Sr 0.500 0.723 0.270
In 0.500 0.293 0.000
In 0.000 0.707 0.500
P 0.500 0.215 0.500
P 0.000 0.785 0.000

---

Record 16
Below is an optimized crystal structure of Pa2SnRu, with properties calculated at the GGA-PBE level.

Results
Magnetic moment, μB/cell: 0.00
DOS(E_F), states/eV/cell: 5.80
Crystal system: tetragonal
Formation energy, eV/f.u.: -1.49
ΔE to the lowest computed polymorph, eV per atom: 0.000

a b c (Å): 3.205 3.205 8.689
angles (deg): 90.00 90.00 90.00
Positions (direct):
Sn 0.500 0.500 0.500
Ru 0.500 0.500 0.000
Pa 0.000 0.000 0.782
Pa 0.000 0.000 0.218

---

Record 17
Below is an optimized crystal structure of TiCoHOs2, with properties calculated at the GGA-PBE level.

Results
Magnetic moment, μB/cell: 0.01
DOS(E_F), states/eV/cell: 6.43
Crystal system: tetragonal

a b c (Å): 3.908 3.908 3.707
angles (deg): 90.00 90.00 90.00
Positions (direct):
Os 0.000 0.500 0.000
Os 0.500 0.000 0.000
H 0.000 0.000 0.000
Co 0.000 0.000 0.500
Ti 0.500 0.500 0.500

---

Record 18
Below is an optimized crystal structure of HoFe11Re, with properties calculated at the GGA-PBE level.

Results
Magnetic moment, μB/cell: 21.44
DOS(E_F), states/eV/cell: 11.78
Crystal system: orthorhombic
Formation energy, eV/f.u.: -0.31

a b c (Å): 6.417 6.417 6.417
angles (deg): 137.27 98.22 97.03
Positions (direct):
Fe 0.223 0.502 0.722
Fe 0.780 0.502 0.278
Fe 0.770 0.270 0.500
Fe 0.359 0.001 0.358
Fe 0.229 0.729 0.500
Fe 0.500 0.999 0.000
Fe 0.999 0.999 0.499
Fe 0.642 0.001 0.642
Fe 0.640 0.640 0.000
Fe 0.999 0.500 0.000
Fe 0.500 0.500 0.501
Re 0.363 0.363 0.000
Ho 0.995 0.995 0.000

---

Record 19
Below is an optimized crystal structure of NaZrSb2, with properties calculated at the GGA-PBE level.

Results
Magnetic moment, μB/cell: 0.00
DOS(E_F), states/eV/cell: 3.47
Crystal system: tetragonal
ΔE to the lowest computed polymorph, eV per atom: 0.018

a b c (Å): 3.626 3.626 7.935
angles (deg): 90.00 90.00 90.00
Positions (direct):
Sb 0.000 0.000 0.213
Sb 0.000 0.000 0.787
Zr 0.500 0.500 0.000
Na 0.500 0.500 0.500

---

Record 20
Below is an optimized crystal structure of FeCo2Ge4, with properties calculated at the GGA-PBE level.

Results
Magnetic moment, μB/cell: 0.81
DOS(E_F), states/eV/cell: 3.01
Crystal system: monoclinic
Formation energy, eV/f.u.: -0.77
ΔE to the lowest computed polymorph, eV per atom: 0.000

a b c (Å): 3.051 6.096 6.322
angles (deg): 113.87 103.96 90.00
Positions (direct):
Ge 0.401 0.686 0.802
Ge 0.599 0.314 0.198
Ge 0.850 0.148 0.700
Ge 0.150 0.852 0.300
Fe 0.000 0.000 0.000
Co 0.252 0.305 0.504
Co 0.748 0.695 0.496

---

Record 21
Below is an optimized crystal structure of Rb2TeIr, with properties calculated at the GGA-PBE level.

Results
Magnetic moment, μB/cell: 0.00
DOS(E_F), states/eV/cell: 5.39
Crystal system: tetragonal

a b c (Å): 13.037 13.037 9.546
angles (deg): 46.93 46.93 90.00
Positions (direct):
Rb 0.875 0.083 0.750
Rb 0.833 0.125 0.250
Rb 0.917 0.625 0.250
Rb 0.375 0.167 0.750
Ir 0.750 0.250 0.500
Ir 0.000 0.000 0.000
Te 0.500 0.500 0.000
Te 0.250 0.750 0.500

---

Record 22
Below is an optimized crystal structure of KBaTl2, with properties calculated at the GGA-PBE level.

Results
Magnetic moment, μB/cell: 0.00
DOS(E_F), states/eV/cell: 4.28
Crystal system: cubic
Formation energy, eV/f.u.: -0.85
ΔE to the lowest computed polymorph, eV per atom: 0.003

a b c (Å): 6.014 6.014 6.014
angles (deg): 60.00 60.00 60.00
Positions (direct):
Tl 0.750 0.750 0.750
Tl 0.250 0.250 0.250
Ba 0.500 0.500 0.500
K 0.000 0.000 0.000

---

Record 23
Below is an optimized crystal structure of AlCd2P, with properties calculated at the GGA-PBE level.

Results
Magnetic moment, μB/cell: 0.00
DOS(E_F), states/eV/cell: 1.48
Crystal system: orthorhombic
Formation energy, eV/f.u.: 0.70
ΔE to the lowest computed polymorph, eV per atom: 0.217

a b c (Å): 5.356 5.356 5.356
angles (deg): 139.69 122.50 72.55
Positions (direct):
Cd 0.731 0.231 0.500
Cd 0.016 0.016 0.000
P 0.468 0.468 0.000
Al 0.286 0.786 0.500

---

Record 24
Below is an optimized crystal structure of Pm4HgPbN, with properties calculated at the GGA-PBE level.

Results
Magnetic moment, μB/cell: 0.00
DOS(E_F), states/eV/cell: 7.93
Crystal system: orthorhombic

a b c (Å): 6.930 6.932 8.785
angles (deg): 90.00 113.23 90.00
Positions (direct):
Pm 0.000 0.500 0.500
Pm 0.500 0.000 0.500
Pm 0.080 0.750 0.159
Pm 0.500 0.500 0.500
Pm 0.589 0.250 0.178
Pm 0.000 0.000 0.500
Pm 0.920 0.250 0.841
Pm 0.411 0.750 0.822
Hg 0.884 0.750 0.769
Hg 0.116 0.250 0.231
Pb 0.391 0.250 0.782
Pb 0.609 0.750 0.218
N 0.253 0.750 0.507
N 0.747 0.250 0.493

---

Record 25
Below is an optimized crystal structure of LuPuFeOs, with properties calculated at the GGA-PBE level.

Results
Magnetic moment, μB/cell: 2.59
DOS(E_F), states/eV/cell: 4.96
Crystal system: cubic
Formation energy, eV/f.u.: -0.44

a b c (Å): 4.729 4.729 4.729
angles (deg): 60.00 60.00 60.00
Positions (direct):
Os 0.750 0.750 0.750
Fe 0.250 0.250 0.250
Pu 0.500 0.500 0.500
Lu 0.000 0.000 0.000

---

Number 1: E_tot -45.8 eV/cell. Number 2: E_tot -33.8 eV/cell. Number 3: E_tot -42.7 eV/cell. Number 4: E_tot -26.3 eV/cell. Number 5: E_tot -27.6 eV/cell. Number 6: E_tot -64.3 eV/cell. Number 7: E_tot -33.9 eV/cell. Number 8: E_tot -26.5 eV/cell. Number 9: E_tot -33.1 eV/cell. Number 10: E_tot -48.0 eV/cell. Number 11: E_tot -26.7 eV/cell. Number 12: E_tot -17.4 eV/cell. Number 13: E_tot -24.8 eV/cell. Number 14: E_tot -20.9 eV/cell. Number 15: E_tot -98.2 eV/cell. Number 16: E_tot -33.8 eV/cell. Number 17: E_tot -41.4 eV/cell. Number 18: E_tot -110.4 eV/cell. Number 19: E_tot -19.7 eV/cell. Number 20: E_tot -41.9 eV/cell. Number 21: E_tot -28.2 eV/cell. Number 22: E_tot -8.6 eV/cell. Number 23: E_tot -10.3 eV/cell. Number 24: E_tot -72.7 eV/cell. Number 25: E_tot -39.0 eV/cell.